Record 1
# Hf12Ag5Pt3

Crystalline Hf12Ag5Pt3 at its relaxed geometry (PBE, the Alexandria database).

Cell lengths 13.741, 13.741, 13.741 Å; angles 109.47, 109.47, 109.47 degrees
Fractional positions:
1 Ag 0.250 0.375 0.625
2 Ag 0.125 0.750 0.375
3 Ag 0.250 0.875 0.125
4 Ag 0.000 0.000 0.500
5 Ag 0.875 0.250 0.625
6 Ag 0.875 0.625 0.750
7 Ag 0.625 0.750 0.875
8 Ag 0.625 0.875 0.250
9 Ag 0.000 0.000 0.000
10 Ag 0.375 0.250 0.125
11 Ag 0.000 0.500 0.500
12 Ag 0.125 0.375 0.250
13 Ag 0.500 0.500 0.000
14 Ag 0.500 0.000 0.500
15 Ag 0.750 0.125 0.875
16 Ag 0.500 0.000 0.000
17 Ag 0.000 0.500 0.000
18 Ag 0.375 0.125 0.750
19 Ag 0.750 0.625 0.375
20 Ag 0.500 0.500 0.500
21 Hf 0.863 0.268 0.432
22 Hf 0.664 0.432 0.569
23 Hf 0.596 0.732 0.664
24 Hf 0.931 0.096 0.863
25 Hf 0.336 0.568 0.431
26 Hf 0.932 0.363 0.268
27 Hf 0.732 0.137 0.068
28 Hf 0.863 0.596 0.931
29 Hf 0.069 0.164 0.432
30 Hf 0.931 0.836 0.568
31 Hf 0.569 0.932 0.664
32 Hf 0.232 0.664 0.096
33 Hf 0.432 0.768 0.863
34 Hf 0.637 0.569 0.904
35 Hf 0.096 0.164 0.232
36 Hf 0.568 0.336 0.931
37 Hf 0.096 0.931 0.363
38 Hf 0.336 0.768 0.404
39 Hf 0.569 0.637 0.404
40 Hf 0.768 0.432 0.363
41 Hf 0.069 0.904 0.137
42 Hf 0.596 0.863 0.431
43 Hf 0.904 0.069 0.637
44 Hf 0.268 0.404 0.836
45 Hf 0.068 0.431 0.836
46 Hf 0.164 0.069 0.932
47 Hf 0.836 0.931 0.068
48 Hf 0.568 0.232 0.137
49 Hf 0.268 0.863 0.932
50 Hf 0.232 0.568 0.637
51 Hf 0.664 0.232 0.596
52 Hf 0.404 0.137 0.569
53 Hf 0.363 0.431 0.096
54 Hf 0.432 0.664 0.069
55 Hf 0.637 0.068 0.232
56 Hf 0.768 0.336 0.904
57 Hf 0.363 0.932 0.768
58 Hf 0.137 0.732 0.568
59 Hf 0.836 0.904 0.268
60 Hf 0.431 0.068 0.336
61 Hf 0.137 0.404 0.069
62 Hf 0.404 0.268 0.336
63 Hf 0.904 0.836 0.768
64 Hf 0.932 0.569 0.164
65 Hf 0.068 0.637 0.732
66 Hf 0.164 0.096 0.732
67 Hf 0.732 0.596 0.164
68 Hf 0.431 0.363 0.596
69 Pt 0.750 0.875 0.625
70 Pt 0.625 0.375 0.750
71 Pt 0.750 0.375 0.125
72 Pt 0.625 0.250 0.375
73 Pt 0.250 0.125 0.375
74 Pt 0.250 0.625 0.875
75 Pt 0.125 0.875 0.750
76 Pt 0.375 0.625 0.250
77 Pt 0.875 0.750 0.125
78 Pt 0.875 0.125 0.250
79 Pt 0.125 0.250 0.875
80 Pt 0.375 0.750 0.625

Output
E_tot = -7.200 eV per atom
energy of formation = 391 meV per atom

***

Record 2
# Sr3SnN

Crystalline Sr3SnN at its relaxed geometry (PBE, the Alexandria database).

Cell lengths 23.572, 7.291, 9.409 Å; angles 90.00, 157.77, 90.00 degrees
Fractional positions:
1 Sr 0.029 0.750 0.529
2 Sr 0.750 0.500 0.250
3 Sr 0.750 0.000 0.250
4 Sr 0.875 0.250 0.875
5 Sr 0.250 0.500 0.750
6 Sr 0.250 0.000 0.750
7 Sr 0.125 0.750 0.125
8 Sr 0.375 0.250 0.375
9 Sr 0.971 0.250 0.471
10 Sr 0.625 0.750 0.625
11 Sr 0.471 0.250 0.971
12 Sr 0.529 0.750 0.029
13 N 0.129 0.250 0.629
14 N 0.871 0.750 0.371
15 N 0.371 0.750 0.871
16 N 0.629 0.250 0.129
17 Sn 0.601 0.250 0.601
18 Sn 0.399 0.750 0.399
19 Sn 0.101 0.250 0.101
20 Sn 0.899 0.750 0.899

Output
E_tot = -3.951 eV per atom

***

Record 3
# ErBeF6

Crystalline ErBeF6 at its relaxed geometry (PBE, the Alexandria database).

Cell lengths 4.323, 4.323, 4.699 Å; angles 96.00, 96.00, 104.80 degrees
Fractional positions:
1 F 0.771 0.771 0.348
2 F 0.229 0.229 0.652
3 F 0.185 0.521 0.235
4 F 0.521 0.185 0.235
5 F 0.815 0.479 0.765
6 F 0.479 0.815 0.765
7 Er 0.000 0.000 0.000
8 Be 0.500 0.500 0.500

Output
E_tot = -5.466 eV per atom